No. 1
First-principles (GGA-PBE) data for an optimized crystal structure of LiFeHg2, as listed in Alexandria.

Cell lengths 4.7795, 2.9837, 5.5722 Å; angles 90.00, 111.65, 90.00 degrees
Closest atoms and distances in Å follow each position.
Space group P2/m (No. 10)
One atom of each set of equivalent atoms:
Li1 0.0000 0.0000 0.0000 (multiplicity 1)  6 Hg 2.79-2.82, 2 Li 2.98
Fe1 0.5000 0.5000 0.5000 (multiplicity 1)  6 Hg 2.79-2.82, 2 Fe 2.98
Hg1 0.0000 0.0000 0.5000 (multiplicity 1)  2 Li 2.79, 4 Fe 2.82, 2 Hg 2.98
Hg2 0.5000 0.5000 0.0000 (multiplicity 1)  2 Fe 2.79, 4 Li 2.82, 2 Hg 2.98

Summary:
Formation energy in eV/atom: 0.192

---

No. 2
First-principles (GGA-PBE) data for an optimized crystal structure of Cu3PtF, as listed in Alexandria.

Cell lengths 4.7108, 4.7108, 4.7108 Å; angles 90.00, 90.00, 90.00 degrees
Closest atoms and distances in Å follow each position.
Space group Pm-3m (No. 221)
One atom of each set of equivalent atoms:
Cu1 0.0000 0.0000 0.5000 (multiplicity 3)  2 Pt 2.36
Pt1 0.0000 0.0000 0.0000 (multiplicity 1)  6 Cu 2.36
F1 0.5000 0.5000 0.5000 (multiplicity 1)  12 Cu 3.33

Summary:
ΔE_f (raw) in meV per atom: 630
Energy above the lowest structure with this stoichiometry in meV per atom: 586.3

---

No. 3
First-principles (GGA-PBE) data for an optimized crystal structure of La4InAg2Au, as listed in Alexandria.

Cell lengths 5.4435, 5.4435, 26.5888 Å; angles 90.00, 90.00, 120.00 degrees
Closest atoms and distances in Å follow each position.
Space group R-3m (No. 166, hexagonal axes)
One atom of each set of equivalent atoms:
La1 0.0000 0.0000 0.1187 (multiplicity 6)  1 Au 3.16, 4 Ag 3.22-3.27, 3 In 3.39
La2 0.0000 0.0000 0.3700 (multiplicity 6)  3 Au 3.29, 4 Ag 3.41-3.47, 1 In 3.46
In1 0.0000 0.0000 0.5000 (multiplicity 3)  8 La 3.39-3.46, 6 Ag 3.72
Ag1 0.0000 0.0000 0.2417 (multiplicity 6)  8 La 3.22-3.47
Au1 0.0000 0.0000 0.0000 (multiplicity 3)  8 La 3.16-3.29

Summary:
Formation energy in eV/atom: -0.462

---

No. 4
First-principles (GGA-PBE) data for an optimized crystal structure of La3SmGa2, as listed in Alexandria.

Cell lengths 6.6809, 16.3838, 6.6611 Å; angles 90.00, 90.00, 90.00 degrees
Closest atoms and distances in Å follow each position.
Space group Ibam (No. 72)
One atom of each set of equivalent atoms:
La1 0.0000 0.0000 0.2500 (multiplicity 4)  4 Ga 3.20, 2 La 3.33, 2 Sm 3.34
La2 0.2449 0.3177 0.0000 (multiplicity 8)  4 Ga 3.07-3.44
Sm1 0.0000 0.5000 0.2500 (multiplicity 4)  4 Ga 3.15, 2 Sm 3.33, 2 La 3.34
Ga1 0.2428 0.3699 0.5000 (multiplicity 8)  6 La 3.07-3.44, 2 Sm 3.15

Summary:
Formation energy in eV/atom: -0.368
Energy above the lowest structure with this stoichiometry in meV per atom: 46.0

---

No. 5
First-principles (GGA-PBE) data for an optimized crystal structure of Ta2PCl, as listed in Alexandria.

Cell lengths 2.9939, 5.7837, 8.2213 Å; angles 90.00, 90.00, 90.00 degrees
Closest atoms and distances in Å follow each position.
Space group Immm (No. 71)
One atom of each set of equivalent atoms:
Ta1 0.0000 0.0000 0.2396 (multiplicity 4)  2 P 2.47, 2 Cl 2.61
P1 0.0000 0.5000 0.5000 (multiplicity 2)  4 Ta 2.47
Cl1 0.0000 0.5000 0.0000 (multiplicity 2)  4 Ta 2.61

Summary:
ΔE_f (raw) in meV per atom: 163
Energy above the lowest structure with this stoichiometry in meV per atom: 483.6

---

No. 6
First-principles (GGA-PBE) data for an optimized crystal structure of Sr3Ca2Mg4, as listed in Alexandria.

Cell lengths 10.2098, 5.8937, 10.8130 Å; angles 90.00, 90.03, 90.00 degrees
Closest atoms and distances in Å follow each position.
Space group C2/m (No. 12)
One atom of each set of equivalent atoms:
Sr1 0.0000 0.0000 0.0000 (multiplicity 2)  8 Mg 3.55-3.72
Sr2 0.1658 0.5000 0.5834 (multiplicity 4)  4 Mg 3.45-3.50, 3 Sr 3.84-3.86
Ca1 0.1680 0.5000 0.2116 (multiplicity 4)  7 Mg 3.34-3.69
Mg1 0.0015 0.0000 0.3440 (multiplicity 4)  1 Mg 3.37, 4 Sr 3.49-3.72, 3 Ca 3.69
Mg2 0.1645 0.5000 0.9025 (multiplicity 4)  4 Ca 3.34-3.62, 4 Sr 3.45-3.58

Summary:
Formation energy in eV/atom: -0.023

---

No. 7
First-principles (GGA-PBE) data for an optimized crystal structure of OsRu, as listed in Alexandria.

Cell lengths 5.0795, 5.0795, 5.0795 Å; angles 90.00, 90.00, 90.00 degrees
Closest atoms and distances in Å follow each position.
Space group Fm-3m (No. 225)
One atom of each set of equivalent atoms:
Os1 0.0000 0.0000 0.0000 (multiplicity 4)  6 Ru 2.54
Ru1 0.0000 0.0000 0.5000 (multiplicity 4)  6 Os 2.54

Summary:
Formation energy in eV/atom: 1.374

---

No. 8
First-principles (GGA-PBE) data for an optimized crystal structure of BaZn3Rh, as listed in Alexandria.

Cell lengths 4.9189, 4.9189, 4.9189 Å; angles 90.00, 90.00, 90.00 degrees
Closest atoms and distances in Å follow each position.
Space group Pm-3m (No. 221)
One atom of each set of equivalent atoms:
Ba1 0.0000 0.0000 0.0000 (multiplicity 1)  12 Zn 3.48
Zn1 0.0000 0.5000 0.5000 (multiplicity 3)  2 Rh 2.46
Rh1 0.5000 0.5000 0.5000 (multiplicity 1)  6 Zn 2.46

Summary:
Formation energy in eV/atom: -0.340
Energy above the lowest structure with this stoichiometry in meV per atom: 16.8

---

No. 9
First-principles (GGA-PBE) data for an optimized crystal structure of SiRhBr, as listed in Alexandria.

Cell lengths 6.1193, 6.1193, 6.1193 Å; angles 90.00, 90.00, 90.00 degrees
Closest atoms and distances in Å follow each position.
Space group F-43m (No. 216)
One atom of each set of equivalent atoms:
Si1 0.0000 0.0000 0.0000 (multiplicity 4)  4 Br 2.65, 4 Rh 2.65
Rh1 0.2500 0.2500 0.2500 (multiplicity 4)  4 Si 2.65
Br1 0.2500 0.2500 0.7500 (multiplicity 4)  4 Si 2.65

Summary:
ΔE_f (raw) in meV per atom: 603
Energy above the lowest structure with this stoichiometry in meV per atom: 888.1

---

No. 10
First-principles (GGA-PBE) data for an optimized crystal structure of ErWN4, as listed in Alexandria.

Cell lengths 7.0958, 6.3395, 7.2459 Å; angles 90.00, 90.00, 90.00 degrees
Closest atoms and distances in Å follow each position.
Space group Cmcm (No. 63)
One atom of each set of equivalent atoms:
Er1 0.0000 0.0832 0.2500 (multiplicity 4)  8 N 2.35-2.50
W1 0.0000 0.4179 0.7500 (multiplicity 4)  4 N 1.88
N1 0.0000 0.2340 0.5459 (multiplicity 8)  1 W 1.88
N2 0.2054 0.3948 0.2500 (multiplicity 8)  1 W 1.88

Summary:
ΔE_f (raw) in meV per atom: 8

---

No. 11
First-principles (GGA-PBE) data for an optimized crystal structure of Al2SbPb, as listed in Alexandria.

Cell lengths 3.3954, 3.3954, 29.5122 Å; angles 90.00, 90.00, 120.00 degrees
Closest atoms and distances in Å follow each position.
Space group R3m (No. 160, hexagonal axes)
One atom of each set of equivalent atoms:
Al1 0.0000 0.0000 0.0000 (multiplicity 3)  3 Al 2.75, 3 Sb 2.88
Al2 0.0000 0.0000 0.2679 (multiplicity 3)  3 Al 2.75
Sb1 0.0000 0.0000 0.7383 (multiplicity 3)  3 Al 2.88
Pb1 0.0000 0.0000 0.5165 (multiplicity 3)  3 Al 3.18, 6 Pb 3.40

Summary:
ΔE_f (raw) in meV per atom: 187
Energy above the lowest structure with this stoichiometry in meV per atom: 60.9

---

No. 12
First-principles (GGA-PBE) data for an optimized crystal structure of Pr2CdSi3, as listed in Alexandria.

Cell lengths 4.1987, 4.3715, 14.6503 Å; angles 90.00, 90.00, 90.00 degrees
Closest atoms and distances in Å follow each position.
Space group Imm2 (No. 44)
One atom of each set of equivalent atoms:
Pr1 0.0000 0.0000 0.0000 (multiplicity 2)  8 Si 3.17-3.42, 4 Cd 3.34
Pr2 0.0000 0.5000 0.2686 (multiplicity 2)  10 Si 3.14-3.27, 2 Cd 3.29
Cd1 0.0000 0.0000 0.5958 (multiplicity 2)  3 Si 2.54
Si1 0.0000 0.0000 0.4225 (multiplicity 2)  2 Si 2.40, 1 Cd 2.54
Si2 0.0000 0.5000 0.6840 (multiplicity 2)  1 Si 2.34, 2 Cd 2.54
Si3 0.0000 0.5000 0.8437 (multiplicity 2)  3 Si 2.34-2.40

Summary:
ΔE_f (raw) in meV per atom: -575

---

No. 13
First-principles (GGA-PBE) data for an optimized crystal structure of Sr2HPdRu, as listed in Alexandria.

Cell lengths 5.2881, 5.2881, 3.6117 Å; angles 90.00, 90.00, 90.00 degrees
Closest atoms and distances in Å follow each position.
Space group P4/mmm (No. 123)
One atom of each set of equivalent atoms:
Sr1 0.0000 0.5000 0.0000 (multiplicity 2)  2 H 2.64
H1 0.0000 0.0000 0.0000 (multiplicity 1)  2 Ru 1.81
Pd1 0.5000 0.5000 0.5000 (multiplicity 1)  8 Sr 3.20
Ru1 0.0000 0.0000 0.5000 (multiplicity 1)  2 H 1.81

---

Number 1: raw total energy -2.553 eV per atom. Number 2: raw total energy -3.410 eV per atom. Number 3: raw total energy -4.391 eV per atom. Number 4: raw total energy -4.627 eV per atom. Number 5: raw total energy -7.578 eV per atom. Number 6: raw total energy -1.737 eV per atom. Number 7: raw total energy -8.878 eV per atom. Number 8: raw total energy -2.959 eV per atom. Number 9: raw total energy -4.213 eV per atom. Number 10: raw total energy -8.462 eV per atom. Number 11: raw total energy -3.642 eV per atom. Number 12: raw total energy -5.032 eV per atom. Number 13: raw total energy -4.358 eV per atom.